A relaxed structure of HfSc2WC6, computed with PBE.

Summary:
space group	R-3m (166)
raw total energy	-8.73	eV/atom

Lattice parameters (Å, degrees): 7.443 7.443 7.443 35.81 35.81 35.81
Fractional positions:
Hf 0.000 0.000 0.000
Sc 0.233 0.233 0.233
Sc 0.767 0.767 0.767
W 0.500 0.500 0.500
C 0.292 0.292 0.624
C 0.292 0.624 0.292
C 0.376 0.708 0.708
C 0.624 0.292 0.292
C 0.708 0.376 0.708
C 0.708 0.708 0.376